# 1
DFT (PBE) results for LiGdPuIr after structural relaxation.

The structure in POSCAR format:
```
LiGdPuIr
1.0
-3.344 -0.260 3.624
1.474 -0.317 4.701
-0.637 3.830 3.050
Ir Gd Li Pu
1 1 1 1
Cartesian
-0.627 0.813 2.844
-1.253 1.627 5.688
-1.880 2.440 8.531
0.000 0.000 0.000
```

## Properties
formation enthalpy at 0 K: -0.33 eV per atom

---

# 2
DFT (PBE) results for Tb3IrCl2O6 after structural relaxation.

The structure in POSCAR format:
```
Tb3IrCl2O6
1.0
-2.606 4.417 -2.060
-5.222 -1.344 3.723
4.303 4.578 1.923
Tb O Ir Cl
3 6 1 2
Cartesian
-2.611 -0.672 1.861
0.849 4.498 -0.069
-1.762 3.825 1.793
-5.616 2.529 1.821
-0.642 4.418 3.714
-2.882 3.233 -0.128
2.092 5.121 1.765
-3.238 4.906 2.995
-0.286 2.745 0.590
-1.303 2.208 -1.030
-1.258 6.047 0.419
-2.266 1.604 3.166
```

## Properties
DFT total energy: -81.3 eV per cell

---

# 3
DFT (PBE) results for ReBr4Cl4 after structural relaxation.

The structure in POSCAR format:
```
ReBr4Cl4
1.0
8.606 0.000 0.000
0.000 8.701 0.000
0.000 0.000 8.701
Br Cl Re
8 8 2
Cartesian
6.554 4.349 2.961
2.051 2.961 4.352
6.354 8.700 7.312
6.354 0.001 1.389
2.252 7.312 0.001
2.252 1.389 8.700
2.051 5.740 4.349
6.554 4.352 5.740
4.828 2.037 4.352
8.080 2.313 8.699
4.828 6.664 4.349
8.080 6.388 0.002
0.526 8.699 6.388
0.526 0.002 2.313
3.777 4.349 2.037
3.777 4.353 6.664
8.606 8.701 0.000
4.303 4.351 4.351
```

## Properties
DFT total energy: -54.6 eV per cell

---

# 4
DFT (PBE) results for Sr2NbAlTl after structural relaxation.

The structure in POSCAR format:
```
Sr2NbAlTl
1.0
6.202 0.000 0.000
0.000 5.346 0.000
0.000 0.000 6.202
Al Sr Tl Nb
1 2 1 1
Cartesian
3.101 2.673 3.101
0.000 0.000 3.101
3.101 0.000 0.000
0.000 0.000 0.000
0.000 2.673 0.000
```

## Properties
formation enthalpy at 0 K: 0.89 eV per atom

---

# 5
DFT (PBE) results for BaTbBi after structural relaxation.

The structure in POSCAR format:
```
BaTbBi
1.0
-1.887 4.147 -1.768
-4.638 -1.071 2.438
3.775 2.804 2.547
Tb Ba Bi
1 1 1
Cartesian
0.658 2.201 2.217
-3.091 2.984 1.297
-0.316 0.695 -0.296
```

## Properties
relative energy among the computed polymorphs: 0.0 meV/atom
formation enthalpy at 0 K: -0.43 eV per atom

---

# 6
DFT (PBE) results for LiHfAl after structural relaxation.

The structure in POSCAR format:
```
LiHfAl
1.0
2.888 0.000 0.001
0.000 4.262 0.000
1.096 0.000 9.054
Li Hf Al
2 2 2
Cartesian
1.173 2.131 3.751
3.201 0.000 5.110
3.612 0.000 8.012
2.529 0.000 1.958
2.134 2.131 6.565
1.075 2.131 0.488
```

## Properties
relative energy among the computed polymorphs: 76.2 meV/atom
formation enthalpy at 0 K: -0.10 eV per atom

---

# 7
DFT (PBE) results for Mg5Pd12Pt2 after structural relaxation.

The structure in POSCAR format:
```
Mg5Pd12Pt2
1.0
-2.209 0.757 -4.992
7.272 -4.070 -0.792
-5.248 -5.719 1.455
Pd Pt Mg
12 2 5
Cartesian
-0.297 -2.367 -0.227
1.342 -2.120 -2.389
1.835 -7.257 -1.912
-1.527 -6.912 -1.941
2.961 -5.088 -0.581
1.871 -4.715 -3.043
0.113 -6.666 -4.102
-2.056 -4.317 -1.287
-0.388 -7.303 0.633
-3.145 -3.944 -3.749
-2.020 -1.775 -2.418
0.204 -1.730 -4.962
-1.676 0.574 -3.789
-0.532 0.182 -1.203
4.104 -3.522 -2.349
-0.555 -3.773 -3.368
-2.624 -2.859 0.727
0.370 -5.259 -0.961
-4.288 -5.510 -1.980
```

## Properties
formation enthalpy at 0 K: -0.21 eV per atom

---

# 8
DFT (PBE) results for Hf4ZrN6 after structural relaxation.

The structure in POSCAR format:
```
Hf4ZrN6
1.0
3.130 0.000 0.000
-1.565 5.276 0.000
0.000 0.000 16.043
N Hf Zr
12 8 2
Cartesian
1.565 0.000 8.022
1.565 2.146 12.032
1.565 0.000 0.000
0.000 0.425 2.656
1.565 2.852 1.373
0.000 2.424 9.395
1.565 4.852 13.387
1.565 4.852 10.678
0.000 0.425 5.365
0.000 3.131 4.011
0.000 2.424 14.670
1.565 2.852 6.648
1.565 3.858 15.306
1.565 1.078 13.834
0.000 4.198 2.209
0.000 1.419 7.284
0.000 4.198 5.813
1.565 1.078 10.231
0.000 1.419 0.737
1.565 3.858 8.759
1.565 1.544 4.011
0.000 3.733 12.032
```

## Properties
DFT total energy: -233.7 eV per cell

---

| no. | total magnetic moment (μB per atom) |
| --- | --- |
| 1 | 3.2230 |
| 2 | 0.1691 |
| 3 | 0.3442 |
| 4 | 0.5833 |
| 5 | 0.0000 |
| 6 | 0.0000 |
| 7 | 0.0000 |
| 8 | 0.0000 |